Computed, not measured: a relaxed structure of TlInAu3 at the PBE level of DFT.

Cell and atoms, written as CIF:
```
data_TlInAu3
_cell_length_a 5.294
_cell_length_b 5.294
_cell_length_c 5.294
_cell_angle_alpha 90.00
_cell_angle_beta 90.00
_cell_angle_gamma 90.00
_space_group_name_H-M_alt 'P m -3 m'
_space_group_IT_number 221
_space_group_name_Hall '-P 4 2 3'
loop_
_atom_site_label
_atom_site_fract_x
_atom_site_fract_y
_atom_site_fract_z
_atom_site_occupancy
Tl1 0.000 0.000 0.000 1
In1 0.500 0.500 0.500 1
Au1 0.000 0.500 0.500 1
```

Magnetization, μB/f.u.: 0.00
Formation energy, eV per atom: 0.24